Record 1
# HgAsPb2

HgAsPb2 at its PBEsol-relaxed geometry (meta-GGA SCAN, the Alexandria database).

ΔE_f: 0.29 eV/f.u.
Raw total energy: -59.907 eV per atom
Density of states at the Fermi level: 1.69 states/eV per cell

The structure in CIF format:
```
data_HgAsPb2
_symmetry_space_group_name_H-M 'P 4/m m m'
_symmetry_Int_Tables_number 123
_symmetry_space_group_name_Hall '-P 4 2'
_cell_length_a 3.682
_cell_length_b 3.682
_cell_length_c 7.572
_cell_angle_alpha 90.00
_cell_angle_beta 90.00
_cell_angle_gamma 90.00
loop_
_atom_site_label
_atom_site_fract_x
_atom_site_fract_y
_atom_site_fract_z
_atom_site_occupancy
Hg1 0.000 0.000 0.000 1
As1 0.000 0.000 0.500 1
Pb1 0.500 0.500 0.278 1
```

Record 2
# BaCuF4

BaCuF4 at its PBEsol-relaxed geometry (meta-GGA SCAN, the Alexandria database).

Raw total energy: -14.471 eV per atom
Energy relative to the elements, uncorrected: -2.986 eV/atom

The structure in CIF format:
```
data_BaCuF4
_symmetry_space_group_name_H-M 'C m c 21'
_symmetry_Int_Tables_number 36
_symmetry_space_group_name_Hall 'C 2c -2'
_cell_length_a 4.287
_cell_length_b 14.093
_cell_length_c 5.651
_cell_angle_alpha 90.00
_cell_angle_beta 90.00
_cell_angle_gamma 90.00
loop_
_atom_site_label
_atom_site_fract_x
_atom_site_fract_y
_atom_site_fract_z
_atom_site_occupancy
Ba1 0.000 0.140 0.000 1
Cu1 0.000 0.408 0.969 1
F1 0.000 0.078 0.469 1
F2 0.000 0.301 0.757 1
F3 0.000 0.326 0.242 1
F4 0.000 0.479 0.665 1
```

Record 3
# CsRb2TiF6

CsRb2TiF6 at its PBEsol-relaxed geometry (meta-GGA SCAN, the Alexandria database).

Raw total energy: -14.817 eV per atom
Energy relative to the elements, uncorrected: -3.161 eV/atom
Density of states at the Fermi level: 32.45 states/eV per cell

The structure in CIF format:
```
data_CsRb2TiF6
_symmetry_space_group_name_H-M 'F m -3 m'
_symmetry_Int_Tables_number 225
_symmetry_space_group_name_Hall '-F 4 2 3'
_cell_length_a 9.390
_cell_length_b 9.390
_cell_length_c 9.390
_cell_angle_alpha 90.00
_cell_angle_beta 90.00
_cell_angle_gamma 90.00
loop_
_atom_site_label
_atom_site_fract_x
_atom_site_fract_y
_atom_site_fract_z
_atom_site_occupancy
Cs1 0.000 0.000 0.000 1
Rb1 0.250 0.250 0.250 1
Ti1 0.000 0.000 0.500 1
F1 0.000 0.000 0.291 1
```

Record 4
# ScTlCo2

ScTlCo2 at its PBEsol-relaxed geometry (meta-GGA SCAN, the Alexandria database).

ΔE_f: 0.01 eV/f.u.
Raw total energy: -30.299 eV per atom
Density of states at the Fermi level: 2.59 states/eV per cell

The structure in CIF format:
```
data_ScTlCo2
_symmetry_space_group_name_H-M 'P 4 m m'
_symmetry_Int_Tables_number 99
_symmetry_space_group_name_Hall 'P 4 -2'
_cell_length_a 3.043
_cell_length_b 3.043
_cell_length_c 6.844
_cell_angle_alpha 90.00
_cell_angle_beta 90.00
_cell_angle_gamma 90.00
loop_
_atom_site_label
_atom_site_fract_x
_atom_site_fract_y
_atom_site_fract_z
_atom_site_occupancy
Sc1 0.000 0.000 0.000 1
Tl1 0.500 0.500 0.343 1
Co1 0.000 0.000 0.608 1
Co2 0.500 0.500 0.761 1
```

Record 5
# Mg2PdWS

Mg2PdWS at its PBEsol-relaxed geometry (meta-GGA SCAN, the Alexandria database).

Raw total energy: -23.710 eV per atom
Energy relative to the elements, uncorrected: 0.697 eV/atom
Density of states at the Fermi level: 1.86 states/eV per cell

The structure in CIF format:
```
data_Mg2PdWS
_symmetry_space_group_name_H-M 'P 4/m m m'
_symmetry_Int_Tables_number 123
_symmetry_space_group_name_Hall '-P 4 2'
_cell_length_a 4.818
_cell_length_b 4.818
_cell_length_c 4.752
_cell_angle_alpha 90.00
_cell_angle_beta 90.00
_cell_angle_gamma 90.00
loop_
_atom_site_label
_atom_site_fract_x
_atom_site_fract_y
_atom_site_fract_z
_atom_site_occupancy
Mg1 0.000 0.500 0.000 1
Pd1 0.000 0.000 0.000 1
W1 0.000 0.000 0.500 1
S1 0.500 0.500 0.500 1
```

Record 6
# ScAlCo

ScAlCo at its PBEsol-relaxed geometry (meta-GGA SCAN, the Alexandria database).

ΔE_f: -1.34 eV/f.u.
Raw total energy: -13.545 eV per atom
Density of states at the Fermi level: 3.27 states/eV per cell

The structure in CIF format:
```
data_ScAlCo
_symmetry_space_group_name_H-M 'I 4 m m'
_symmetry_Int_Tables_number 107
_symmetry_space_group_name_Hall 'I 4 -2'
_cell_length_a 2.928
_cell_length_b 2.928
_cell_length_c 10.433
_cell_angle_alpha 90.00
_cell_angle_beta 90.00
_cell_angle_gamma 90.00
loop_
_atom_site_label
_atom_site_fract_x
_atom_site_fract_y
_atom_site_fract_z
_atom_site_occupancy
Sc1 0.000 0.000 0.000 1
Al1 0.000 0.000 0.285 1
Co1 0.000 0.000 0.660 1
```